[1]
## Ce6MgO12 (PBE-GGA)

Data for crystalline Ce6MgO12 at its relaxed geometry.

Output
Space-group type: R-3, No. 148
Volume (Å³/cell): 280
Formation energy without anion corrections (meV/atom): -3355
E (eV per cell): -160.44

Cell and atoms, written as extended XYZ:
```
19
Lattice="5.0679 2.9260 3.1510 -5.0679 2.9260 3.1510 0.0000 -5.8520 3.1510" Properties=species:S:1:pos:R:3 pbc="T T T"
Ce -2.6966 -2.4615 4.7867
Ce -3.4800 1.1045 4.6662
Ce 0.7835 -3.5661 4.6662
Ce -0.7835 3.5661 4.7867
Ce 3.4801 -1.1045 4.7867
Ce 2.6966 2.4615 4.6662
Mg 0.0000 0.0000 4.7265
O -1.3067 -4.2119 4.1041
O -4.3009 -0.9743 5.3489
O -1.9266 -0.3377 3.7295
O -2.9942 3.2376 4.1041
O 1.2557 -1.4996 3.7295
O -0.6708 -1.8373 5.7234
O 0.6708 1.8373 3.7295
O -1.2557 1.4996 5.7234
O 2.9942 -3.2376 5.3489
O 1.9266 0.3377 5.7234
O 4.3009 0.9743 4.1041
O 1.3067 4.2119 5.3489
```

[2]
## Ce2MgO (PBE-GGA)

Data for crystalline Ce2MgO at its relaxed geometry.

Output
Space-group type: R-3m, No. 166
Volume (Å³/cell): 278
Formation energy without anion corrections (meV/atom): -1101
E (eV per cell): -68.48

Cell and atoms, written as extended XYZ:
```
12
Lattice="3.2915 0.0000 0.0000 -1.6457 2.8505 0.0000 0.0000 0.0000 29.5877" Properties=species:S:1:pos:R:3 pbc="T T T"
Ce 0.0000 0.0000 3.3928
Ce 0.0000 0.0000 26.1949
Ce 0.0000 1.9003 16.3323
Ce 0.0000 1.9003 23.1180
Ce 1.6457 0.9502 6.4698
Ce 1.6457 0.9502 13.2554
Mg 0.0000 0.0000 0.0000
Mg 0.0000 1.9003 19.7252
Mg 1.6457 0.9502 9.8626
O 0.0000 0.0000 14.7939
O 0.0000 1.9003 4.9313
O 1.6457 0.9502 24.6564
```

Please write out number 2 again, unchanged.
## Ce2MgO (PBE-GGA)

Data for crystalline Ce2MgO at its relaxed geometry.

Output
Space-group type: R-3m, No. 166
Volume (Å³/cell): 278
Formation energy without anion corrections (meV/atom): -1101
E (eV per cell): -68.48

Cell and atoms, written as extended XYZ:
```
12
Lattice="3.2915 0.0000 0.0000 -1.6457 2.8505 0.0000 0.0000 0.0000 29.5877" Properties=species:S:1:pos:R:3 pbc="T T T"
Ce 0.0000 0.0000 3.3928
Ce 0.0000 0.0000 26.1949
Ce 0.0000 1.9003 16.3323
Ce 0.0000 1.9003 23.1180
Ce 1.6457 0.9502 6.4698
Ce 1.6457 0.9502 13.2554
Mg 0.0000 0.0000 0.0000
Mg 0.0000 1.9003 19.7252
Mg 1.6457 0.9502 9.8626
O 0.0000 0.0000 14.7939
O 0.0000 1.9003 4.9313
O 1.6457 0.9502 24.6564
```